MnV2Ge2H2 (PBE, relaxed); final energy = -6.262 eV/atom
1.0
3.3375 0.0000 0.0000
0.0000 3.3375 0.0000
-1.6688 -1.6688 6.6585
Ge V H Mn
2 2 2 1
direct
0.8063 0.8063 0.6126
0.1937 0.1937 0.3874
0.6044 0.6044 0.2087
0.3956 0.3956 0.7913
0.0000 0.5000 0.0000
0.5000 0.0000 0.0000
0.0000 0.0000 0.0000



TcGeRu2 (PBE, relaxed); formation energy = 0.16 eV per atom
1.0
-1.5035 -2.2814 3.0295
-0.8983 -3.9252 -0.6549
3.2667 -3.1950 1.9620
Ge Ru Tc
1 2 1
direct
0.6764 0.6764 0.9709
0.2682 0.2682 0.1955
0.0739 0.0739 0.7782
0.4815 0.4815 0.5554



PuBeOs (PBE, relaxed); offset from the most stable computed form = 9.5 kJ/mol of atoms; formation energy = 0.00 eV per atom
1.0
3.6803 0.0000 0.0000
0.0000 3.9977 0.0000
0.0000 -1.9989 3.4621
Os Pu Be
1 1 1
direct
0.1667 0.3333 0.6667
0.6667 0.6667 0.3333
0.1667 0.0000 0.0000



| no. | Fermi-level density of states (states/eV per cell) |
| --- | --- |
| 1 | 4.05 |
| 2 | 5.52 |
| 3 | 5.30 |